VASP calculation (GGA-PBE) on CaDy5Bi4 after structural relaxation.

The structure in extended XYZ format:
```
10
Lattice="4.428 0.000 0.000 0.000 7.587 -2.107 -2.214 -2.998 10.934" Properties=species:S:1:pos:R:3 pbc="T T T"
Bi 0.000 2.269 0.620
Bi 2.214 2.320 8.207
Bi 0.000 -1.759 7.762
Bi 2.214 6.348 1.065
Dy 0.000 1.067 3.470
Dy 2.214 -0.107 6.230
Dy 2.214 3.522 5.357
Dy 0.000 4.696 2.596
Dy 2.214 3.794 -1.053
Ca 2.214 0.000 0.000
```

Properties
Energy relative to the elements, eV/atom: -0.566
Space group: No. 12